## a
Here is a geometry-optimized Mg3InSe4 structure from Alexandria via LeMat-Bulk. Energies are from GGA-PBE.

Cell: 6.1427 6.1427 6.1427 Å, 90.00 90.00 90.00°
With the nearest neighbours (Å) after each atom.
Space group P-43m (No. 215)
Asymmetric unit:
Mg (0.0000, 0.0000, 0.5000) (multiplicity 3)  4 Se 2.61
In (0.5000, 0.5000, 0.5000) (multiplicity 1)  4 Se 2.81
Se (0.2363, 0.2363, 0.7637) (multiplicity 4)  3 Mg 2.61, 1 In 2.81

Values from the calculation:
The density of states at the Fermi level is 2.5 states/eV per cell. Its calculated volume is 232 Å³ per cell.

## b
Here is a geometry-optimized Mg3InSe4 structure from Alexandria via LeMat-Bulk. Energies are from GGA-PBE.

Cell: 4.3103 4.3103 43.2620 Å, 90.00 90.00 120.00°
With the nearest neighbours (Å) after each atom.
Space group R3m (No. 160, hexagonal axes)
Asymmetric unit:
Mg (0.0000, 0.0000, 0.0000) (multiplicity 3)  4 Se 2.61-2.62
Mg (0.0000, 0.0000, 0.2544) (multiplicity 3)  4 Se 2.60-2.63
Mg (0.0000, 0.0000, 0.7454) (multiplicity 3)  4 Se 2.61-2.64
In (0.0000, 0.0000, 0.5014) (multiplicity 3)  4 Se 2.77-2.89
Se (0.0000, 0.0000, 0.0603) (multiplicity 3)  4 Mg 2.61
Se (0.0000, 0.0000, 0.3146) (multiplicity 3)  4 Mg 2.60-2.62
Se (0.0000, 0.0000, 0.5683) (multiplicity 3)  3 Mg 2.63, 1 In 2.89
Se (0.0000, 0.0000, 0.8064) (multiplicity 3)  1 Mg 2.64, 3 In 2.77

Values from the calculation:
The density of states at the Fermi level is 11.8 states/eV per cell. Its calculated volume is 696 Å³ per cell.

Of them, the most stable is a and the least stable is b.

## a
Here is a geometry-optimized Mg3InSe structure from Alexandria via LeMat-Bulk. Energies are from GGA-PBE.

Cell: 5.2805 5.2805 5.2805 Å, 90.00 90.00 90.00°
With the nearest neighbours (Å) after each atom.
Space group Pm-3m (No. 221)
Asymmetric unit:
Mg (0.0000, 0.0000, 0.5000) (multiplicity 3)  2 In 2.64
In (0.0000, 0.0000, 0.0000) (multiplicity 1)  6 Mg 2.64
Se (0.5000, 0.5000, 0.5000) (multiplicity 1)  12 Mg 3.73

Values from the calculation:
The density of states at the Fermi level is 6.9 states/eV per cell. Its calculated volume is 147 Å³ per cell.

## b
Here is a geometry-optimized Mg3InSe structure from Alexandria via LeMat-Bulk. Energies are from GGA-PBE.

Cell: 5.0870 5.0870 5.0870 Å, 90.00 90.00 90.00°
With the nearest neighbours (Å) after each atom.
Space group Pm-3m (No. 221)
Asymmetric unit:
Mg (0.0000, 0.0000, 0.5000) (multiplicity 3)  2 Se 2.54
In (0.5000, 0.5000, 0.5000) (multiplicity 1)  12 Mg 3.60
Se (0.0000, 0.0000, 0.0000) (multiplicity 1)  6 Mg 2.54

Values from the calculation:
The density of states at the Fermi level is 2.3 states/eV per cell. Its calculated volume is 132 Å³ per cell.

Of them, the most stable is b and the least stable is a.

## a
Here is a geometry-optimized MgIn3Se structure from Alexandria via LeMat-Bulk. Energies are from GGA-PBE.

Cell: 5.6206 5.6206 5.6206 Å, 90.00 90.00 90.00°
With the nearest neighbours (Å) after each atom.
Space group Pm-3m (No. 221)
Asymmetric unit:
Mg (0.0000, 0.0000, 0.0000) (multiplicity 1)  12 In 3.97
In (0.0000, 0.5000, 0.5000) (multiplicity 3)  2 Se 2.81
Se (0.5000, 0.5000, 0.5000) (multiplicity 1)  6 In 2.81

Values from the calculation:
The density of states at the Fermi level is 2.6 states/eV per cell. Its calculated volume is 178 Å³ per cell.

## b
Here is a geometry-optimized MgIn3Se structure from Alexandria via LeMat-Bulk. Energies are from GGA-PBE.

Cell: 5.4307 5.4307 5.4307 Å, 90.00 90.00 90.00°
With the nearest neighbours (Å) after each atom.
Space group Pm-3m (No. 221)
Asymmetric unit:
Mg (0.0000, 0.0000, 0.0000) (multiplicity 1)  6 In 2.72
In (0.0000, 0.0000, 0.5000) (multiplicity 3)  2 Mg 2.72
Se (0.5000, 0.5000, 0.5000) (multiplicity 1)  12 In 3.84

Values from the calculation:
The density of states at the Fermi level is 2.0 states/eV per cell. Its calculated volume is 160 Å³ per cell.

Of them, the most stable is b and the least stable is a.

## a
Here is a geometry-optimized MgInSe3 structure from Alexandria via LeMat-Bulk. Energies are from GGA-PBE.

Cell: 5.1464 5.1464 5.1464 Å, 90.00 90.00 90.00°
With the nearest neighbours (Å) after each atom.
Space group Pm-3m (No. 221)
Asymmetric unit:
Mg (0.0000, 0.0000, 0.0000) (multiplicity 1)  6 Se 2.57
In (0.5000, 0.5000, 0.5000) (multiplicity 1)  12 Se 3.64
Se (0.0000, 0.0000, 0.5000) (multiplicity 3)  2 Mg 2.57

Values from the calculation:
The density of states at the Fermi level is 12.0 states/eV per cell. Its calculated volume is 136 Å³ per cell.

## b
Here is a geometry-optimized MgInSe3 structure from Alexandria via LeMat-Bulk. Energies are from GGA-PBE.

Cell: 6.7574 6.7574 19.3135 Å, 90.00 90.00 120.00°
With the nearest neighbours (Å) after each atom.
Space group R-3 (No. 148, hexagonal axes)
Asymmetric unit:
Mg (0.0000, 0.0000, 0.1514) (multiplicity 6)  6 Se 2.69-2.77
In (0.0000, 0.0000, 0.3519) (multiplicity 6)  6 Se 2.71-2.84
Se (0.0041, 0.3019, 0.7511) (multiplicity 18)  2 Mg 2.69-2.77, 2 In 2.71-2.84

Values from the calculation:
The density of states at the Fermi level is 28.3 states/eV per cell. Its calculated volume is 764 Å³ per cell.

Of them, the most stable is b and the least stable is a.